Record 1
Here is an optimized crystal structure of Ca2SiNi from the Alexandria database. Energies are from PBE-GGA.

Summary:
Energy = -0.292 Ry/atom
Total magnetic moment = 0.00 μB per cell
E_form (uncorrected) = -0.17 eV per atom
Space-group type = P4mm
Volume = 89.4 Å³ per cell

Cell and atoms, written as CIF:
```
data_Ca2SiNi
_chemical_formula_sum 'Ca2 Si1 Ni1'
_cell_length_a 3.270
_cell_length_b 3.270
_cell_length_c 8.359
_cell_angle_alpha 90.00
_cell_angle_beta 90.00
_cell_angle_gamma 90.00
_space_group_name_H-M_alt 'P 1'
_space_group_IT_number 1
loop_
_space_group_symop_operation_xyz
'x,y,z'
loop_
_atom_site_label
_atom_site_type_symbol
_atom_site_fract_x
_atom_site_fract_y
_atom_site_fract_z
Ca1 Ca 0.000 0.000 0.000
Ca2 Ca 0.500 0.500 0.391
Si1 Si 0.500 0.500 0.748
Ni1 Ni 0.000 0.000 0.650
```

Record 2
Here is an optimized crystal structure of Hg2PtPbBr from the Alexandria database. Energies are from PBE-GGA.

Summary:
Energy = -0.131 Ry/atom
Total magnetic moment = 0.00 μB per cell
E_form (uncorrected) = 0.63 eV per atom
Space-group type = P4/mmm
Volume = 166.2 Å³ per cell
Energy above the lowest structure with this stoichiometry = 0.845 eV/atom

Cell and atoms, written as CIF:
```
data_Hg2PtPbBr
_chemical_formula_sum 'Hg2 Pt1 Pb1 Br1'
_cell_length_a 5.951
_cell_length_b 5.951
_cell_length_c 4.693
_cell_angle_alpha 90.00
_cell_angle_beta 90.00
_cell_angle_gamma 90.00
_space_group_name_H-M_alt 'P 1'
_space_group_IT_number 1
loop_
_space_group_symop_operation_xyz
'x,y,z'
loop_
_atom_site_label
_atom_site_type_symbol
_atom_site_fract_x
_atom_site_fract_y
_atom_site_fract_z
Hg1 Hg 0.000 0.500 0.000
Hg2 Hg 0.500 0.000 0.000
Pt1 Pt 0.000 0.000 0.500
Pb1 Pb 0.500 0.500 0.500
Br1 Br 0.000 0.000 0.000
```

Record 3
Here is an optimized crystal structure of SmDySc2Hg4 from the Alexandria database. Energies are from PBE-GGA.

Summary:
Formation energy from the elements = -0.4399 eV per atom
Energy = -0.245 Ry/atom
Total magnetic moment = 0.91 μB per cell
Space-group type = R-3m
Volume = 194.2 Å³ per cell

Cell and atoms, written as CIF:
```
data_SmDySc2Hg4
_chemical_formula_sum 'Sm1 Dy1 Sc2 Hg4'
_cell_length_a 8.949
_cell_length_b 8.949
_cell_length_c 8.949
_cell_angle_alpha 33.48
_cell_angle_beta 33.48
_cell_angle_gamma 33.48
_space_group_name_H-M_alt 'P 1'
_space_group_IT_number 1
loop_
_space_group_symop_operation_xyz
'x,y,z'
loop_
_atom_site_label
_atom_site_type_symbol
_atom_site_fract_x
_atom_site_fract_y
_atom_site_fract_z
Sm1 Sm 0.000 0.000 0.000
Dy1 Dy 0.500 0.500 0.500
Sc1 Sc 0.250 0.250 0.250
Sc2 Sc 0.750 0.750 0.750
Hg1 Hg 0.126 0.126 0.126
Hg2 Hg 0.377 0.377 0.377
Hg3 Hg 0.623 0.623 0.623
Hg4 Hg 0.874 0.874 0.874
```

Record 4
Here is an optimized crystal structure of ErHfCd2 from the Alexandria database. Energies are from PBE-GGA.

Summary:
Formation energy from the elements = -0.0569 eV per atom
Energy = -0.305 Ry/atom
Total magnetic moment = 0.81 μB per cell
Space-group type = Fm-3m
Volume = 93.0 Å³ per cell
Energy above the lowest structure with this stoichiometry = 0.027 eV/atom

Cell and atoms, written as CIF:
```
data_ErHfCd2
_chemical_formula_sum 'Er1 Hf1 Cd2'
_cell_length_a 5.086
_cell_length_b 5.086
_cell_length_c 5.086
_cell_angle_alpha 60.00
_cell_angle_beta 60.00
_cell_angle_gamma 60.00
_space_group_name_H-M_alt 'P 1'
_space_group_IT_number 1
loop_
_space_group_symop_operation_xyz
'x,y,z'
loop_
_atom_site_label
_atom_site_type_symbol
_atom_site_fract_x
_atom_site_fract_y
_atom_site_fract_z
Er1 Er 0.000 0.000 0.000
Hf1 Hf 0.500 0.500 0.500
Cd1 Cd 0.250 0.250 0.250
Cd2 Cd 0.750 0.750 0.750
```

Record 5
Here is an optimized crystal structure of ZrZnTc from the Alexandria database. Energies are from PBE-GGA.

Summary:
Formation energy from the elements = -0.1861 eV per atom
Energy = -0.508 Ry/atom
Total magnetic moment = 0.01 μB per cell
Space-group type = I4mm
Volume = 50.9 Å³ per cell
Energy above the lowest structure with this stoichiometry = 0.078 eV/atom

Cell and atoms, written as CIF:
```
data_ZrZnTc
_chemical_formula_sum 'Zr1 Zn1 Tc1'
_cell_length_a 4.982
_cell_length_b 4.982
_cell_length_c 4.982
_cell_angle_alpha 139.87
_cell_angle_beta 139.87
_cell_angle_gamma 58.05
_space_group_name_H-M_alt 'P 1'
_space_group_IT_number 1
loop_
_space_group_symop_operation_xyz
'x,y,z'
loop_
_atom_site_label
_atom_site_type_symbol
_atom_site_fract_x
_atom_site_fract_y
_atom_site_fract_z
Zr1 Zr 0.000 0.000 0.000
Zn1 Zn 0.681 0.681 0.000
Tc1 Tc 0.333 0.333 0.000
```

Record 6
Here is an optimized crystal structure of HfThAs2 from the Alexandria database. Energies are from PBE-GGA.

Summary:
Formation energy from the elements = -1.0743 eV per atom
Energy = -0.569 Ry/atom
Total magnetic moment = 0.00 μB per cell
Space-group type = R3m
Volume = 94.9 Å³ per cell
Energy above the lowest structure with this stoichiometry = 0.088 eV/atom

Cell and atoms, written as CIF:
```
data_HfThAs2
_chemical_formula_sum 'Hf1 Th1 As2'
_cell_length_a 7.310
_cell_length_b 7.310
_cell_length_c 7.310
_cell_angle_alpha 31.54
_cell_angle_beta 31.54
_cell_angle_gamma 31.54
_space_group_name_H-M_alt 'P 1'
_space_group_IT_number 1
loop_
_space_group_symop_operation_xyz
'x,y,z'
loop_
_atom_site_label
_atom_site_type_symbol
_atom_site_fract_x
_atom_site_fract_y
_atom_site_fract_z
Hf1 Hf 0.000 0.000 0.000
Th1 Th 0.177 0.177 0.177
As1 As 0.597 0.597 0.597
As2 As 0.747 0.747 0.747
```

Record 7
Here is an optimized crystal structure of Ca2ZrPb from the Alexandria database. Energies are from PBE-GGA.

Summary:
Formation energy from the elements = 0.1184 eV per atom
Energy = -0.290 Ry/atom
Total magnetic moment = 2.83 μB per cell
Space-group type = P4/mmm
Volume = 119.5 Å³ per cell

Cell and atoms, written as CIF:
```
data_Ca2ZrPb
_chemical_formula_sum 'Ca2 Zr1 Pb1'
_cell_length_a 5.610
_cell_length_b 5.610
_cell_length_c 3.796
_cell_angle_alpha 90.00
_cell_angle_beta 90.00
_cell_angle_gamma 90.00
_space_group_name_H-M_alt 'P 1'
_space_group_IT_number 1
loop_
_space_group_symop_operation_xyz
'x,y,z'
loop_
_atom_site_label
_atom_site_type_symbol
_atom_site_fract_x
_atom_site_fract_y
_atom_site_fract_z
Ca1 Ca 0.000 0.500 0.000
Ca2 Ca 0.500 0.000 0.000
Zr1 Zr 0.000 0.000 0.500
Pb1 Pb 0.500 0.500 0.500
```

Record 8
Here is an optimized crystal structure of ZnIn2Se from the Alexandria database. Energies are from PBE-GGA.

Summary:
Energy = -0.180 Ry/atom
Total magnetic moment = 0.00 μB per cell
E_form (uncorrected) = 0.11 eV per atom
Space-group type = F-43m
Volume = 100.1 Å³ per cell
Energy above the lowest structure with this stoichiometry = 0.279 eV/atom

Cell and atoms, written as CIF:
```
data_ZnIn2Se
_chemical_formula_sum 'Zn1 In2 Se1'
_cell_length_a 5.211
_cell_length_b 5.211
_cell_length_c 5.211
_cell_angle_alpha 60.00
_cell_angle_beta 60.00
_cell_angle_gamma 60.00
_space_group_name_H-M_alt 'P 1'
_space_group_IT_number 1
loop_
_space_group_symop_operation_xyz
'x,y,z'
loop_
_atom_site_label
_atom_site_type_symbol
_atom_site_fract_x
_atom_site_fract_y
_atom_site_fract_z
Zn1 Zn 0.000 0.000 0.000
In1 In 0.250 0.250 0.250
In2 In 0.500 0.500 0.500
Se1 Se 0.750 0.750 0.750
```